Record 1
Here is crystalline Ba2Ga3GeAu4 at its relaxed geometry from Alexandria. Energies are from GGA-PBE.

Geometry as POSCAR:
```
Ba2Ga3GeAu4
1.0
4.724 0.000 0.000
0.000 4.724 0.000
0.000 0.000 10.580
Ba Ga Ge Au
2 3 1 4
Direct
0.000 0.500 0.248 Ba
0.500 0.000 0.752 Ba
0.000 0.000 0.000 Ga
0.000 0.500 0.620 Ga
0.500 0.000 0.380 Ga
0.500 0.500 0.000 Ge
0.000 0.000 0.500 Au
0.000 0.500 0.874 Au
0.500 0.000 0.126 Au
0.500 0.500 0.500 Au
```

Computed properties:
* ΔE_f: -0.56 eV/atom
* space group: P-4m2 (115)



Record 2
Here is crystalline Ba2Ga4GeAu3 at its relaxed geometry from Alexandria. Energies are from GGA-PBE.

Geometry as POSCAR:
```
Ba2Ga4GeAu3
1.0
4.709 0.000 0.000
0.000 4.709 0.000
0.000 0.000 10.632
Ba Ga Ge Au
2 4 1 3
Direct
0.000 0.500 0.249 Ba
0.500 0.000 0.751 Ba
0.000 0.000 0.500 Ga
0.000 0.500 0.872 Ga
0.500 0.000 0.128 Ga
0.500 0.500 0.500 Ga
0.500 0.500 0.000 Ge
0.000 0.000 0.000 Au
0.000 0.500 0.623 Au
0.500 0.000 0.377 Au
```

Computed properties:
* ΔE_f: -0.54 eV/atom
* space group: P-4m2 (115)



Record 3
Here is crystalline BaGa2Ge2Au6 at its relaxed geometry from Alexandria. Energies are from GGA-PBE.

Geometry as POSCAR:
```
BaGa2Ge2Au6
1.0
6.620 0.000 0.000
3.141 5.839 0.000
0.392 -0.018 7.012
Ba Ga Ge Au
1 2 2 6
Direct
0.000 0.000 0.000 Ba
0.371 0.362 0.038 Ga
0.629 0.638 0.962 Ga
0.286 0.315 0.456 Ge
0.714 0.685 0.544 Ge
0.039 0.469 0.789 Au
0.489 0.476 0.698 Au
0.493 0.030 0.778 Au
0.507 0.970 0.222 Au
0.511 0.524 0.302 Au
0.961 0.531 0.211 Au
```

Computed properties:
* ΔE_f: -0.26 eV/atom
* space group: P-1 (2)



Record 4
Here is crystalline Ba2Ga3Ge4Au at its relaxed geometry from Alexandria. Energies are from GGA-PBE.

Geometry as POSCAR:
```
Ba2Ga3Ge4Au
1.0
4.747 0.000 0.000
0.000 4.747 0.000
0.000 0.000 10.468
Ba Ga Ge Au
2 3 4 1
Direct
0.000 0.500 0.248 Ba
0.500 0.000 0.752 Ba
0.000 0.000 0.000 Ga
0.000 0.500 0.624 Ga
0.500 0.000 0.376 Ga
0.000 0.000 0.500 Ge
0.000 0.500 0.874 Ge
0.500 0.000 0.126 Ge
0.500 0.500 0.500 Ge
0.500 0.500 0.000 Au
```

Computed properties:
* ΔE_f: -0.41 eV/atom
* space group: P-4m2 (115)



Record 5
Here is crystalline Ba2GaGeAu6 at its relaxed geometry from Alexandria. Energies are from GGA-PBE.

Geometry as POSCAR:
```
Ba2GaGeAu6
1.0
7.053 0.000 0.000
0.008 7.125 0.000
3.482 3.552 5.183
Ba Ga Ge Au
2 1 1 6
Direct
0.209 0.211 0.074 Ba
0.791 0.789 0.926 Ba
0.500 0.000 0.500 Ga
0.000 0.500 0.500 Ge
0.255 0.748 0.999 Au
0.296 0.707 0.497 Au
0.301 0.299 0.495 Au
0.699 0.701 0.505 Au
0.704 0.293 0.503 Au
0.745 0.252 0.001 Au
```

Computed properties:
* ΔE_f: -0.48 eV/atom
* space group: P-1 (2)



Record 6
Here is crystalline Ba2Ga3GeAu12 at its relaxed geometry from Alexandria. Energies are from GGA-PBE.

Geometry as POSCAR:
```
Ba2Ga3GeAu12
1.0
4.345 2.509 7.352
-4.345 2.509 7.352
0.000 -5.017 7.352
Ba Ga Ge Au
2 3 1 12
Direct
0.112 0.112 0.112 Ba
0.888 0.888 0.888 Ba
0.000 0.500 0.500 Ga
0.500 0.000 0.500 Ga
0.500 0.500 0.000 Ga
0.500 0.500 0.500 Ge
0.149 0.611 0.611 Au
0.155 0.155 0.514 Au
0.155 0.514 0.155 Au
0.389 0.389 0.851 Au
0.389 0.851 0.389 Au
0.486 0.845 0.845 Au
0.514 0.155 0.155 Au
0.611 0.149 0.611 Au
0.611 0.611 0.149 Au
0.845 0.486 0.845 Au
0.845 0.845 0.486 Au
0.851 0.389 0.389 Au
```

Computed properties:
* ΔE_f: -0.18 eV/atom
* space group: R-3m (166)



Record 7
Here is crystalline Ba2GaHAu at its relaxed geometry from Alexandria. Energies are from GGA-PBE.

Geometry as POSCAR:
```
Ba2GaHAu
1.0
5.796 0.000 0.000
0.000 5.796 0.000
0.000 0.000 4.025
Ba Ga H Au
2 1 1 1
Direct
0.000 0.500 0.000 Ba
0.500 0.000 0.000 Ba
0.000 0.000 0.500 Ga
0.500 0.500 0.000 H
0.500 0.500 0.500 Au
```

Computed properties:
* ΔE to the lowest computed polymorph: 0.000 eV per atom
* space group: P4/mmm (123)



Record 8
Here is crystalline Ba2GaHAu at its relaxed geometry from Alexandria. Energies are from GGA-PBE.

Geometry as POSCAR:
```
Ba2GaHAu
1.0
5.666 0.000 0.000
0.000 5.666 0.000
0.000 0.000 4.199
Ba Ga H Au
2 1 1 1
Direct
0.000 0.500 0.000 Ba
0.500 0.000 0.000 Ba
0.000 0.000 0.500 Ga
0.000 0.000 0.000 H
0.500 0.500 0.500 Au
```

Computed properties:
* ΔE to the lowest computed polymorph: 0.010 eV per atom
* space group: P4/mmm (123)



Record 9
Here is crystalline Ba2GaH6Au at its relaxed geometry from Alexandria. Energies are from GGA-PBE.

Geometry as POSCAR:
```
Ba2GaH6Au
1.0
-2.791 2.791 4.719
2.791 -2.791 4.719
2.791 2.791 -4.719
Ba Ga H Au
2 1 6 1
Direct
0.000 0.500 0.500 Ba
0.500 0.000 0.500 Ba
0.290 0.290 0.000 Ga
0.035 0.035 0.479 H
0.035 0.556 0.000 H
0.108 0.108 0.000 H
0.556 0.035 0.000 H
0.556 0.556 0.521 H
0.574 0.574 0.000 H
0.765 0.765 0.000 Au
```

Computed properties:
* total DFT energy (no corrections): -3.2676 eV per atom
* space group: I4mm (107)



Record 10
Here is crystalline Ba3Ga2HgAu6 at its relaxed geometry from Alexandria. Energies are from GGA-PBE.

Geometry as POSCAR:
```
Ba3Ga2HgAu6
1.0
6.890 0.000 0.000
-3.445 5.967 0.000
0.000 0.000 8.537
Ba Ga Hg Au
3 2 1 6
Direct
0.000 0.000 0.000 Ba
0.333 0.667 0.653 Ba
0.667 0.333 0.347 Ba
0.333 0.667 0.063 Ga
0.667 0.333 0.937 Ga
0.000 0.000 0.500 Hg
0.188 0.375 0.293 Au
0.188 0.812 0.293 Au
0.375 0.188 0.707 Au
0.625 0.812 0.293 Au
0.812 0.188 0.707 Au
0.812 0.625 0.707 Au
```

Computed properties:
* ΔE_f: -0.46 eV/atom
* space group: P-3m1 (164)



Record 11
Here is crystalline Ba2GaHg4Au3 at its relaxed geometry from Alexandria. Energies are from GGA-PBE.

Geometry as POSCAR:
```
Ba2GaHg4Au3
1.0
4.647 0.000 0.000
0.000 4.647 0.000
0.000 0.000 12.644
Ba Ga Hg Au
2 1 4 3
Direct
0.000 0.500 0.248 Ba
0.500 0.000 0.752 Ba
0.500 0.500 0.000 Ga
0.000 0.000 0.500 Hg
0.000 0.500 0.869 Hg
0.500 0.000 0.131 Hg
0.500 0.500 0.500 Hg
0.000 0.000 0.000 Au
0.000 0.500 0.645 Au
0.500 0.000 0.355 Au
```

Computed properties:
* ΔE_f: -0.41 eV/atom
* space group: P-4m2 (115)



Record 12
Here is crystalline Ba2GaHgAu6 at its relaxed geometry from Alexandria. Energies are from GGA-PBE.

Geometry as POSCAR:
```
Ba2GaHgAu6
1.0
6.691 -2.806 0.000
6.691 2.806 0.000
-6.304 0.000 7.068
Ba Ga Hg Au
2 1 1 6
Direct
0.242 0.242 0.199 Ba
0.758 0.758 0.801 Ba
0.000 0.000 0.500 Ga
0.500 0.500 0.000 Hg
0.245 0.743 0.729 Au
0.248 0.248 0.596 Au
0.257 0.755 0.271 Au
0.743 0.245 0.729 Au
0.752 0.752 0.404 Au
0.755 0.257 0.271 Au
```

Computed properties:
* ΔE_f: -0.46 eV/atom
* space group: C2/m (12)



Record 13
Here is crystalline Ba2GaHg2Au4 at its relaxed geometry from Alexandria. Energies are from GGA-PBE.

Geometry as POSCAR:
```
Ba2GaHg2Au4
1.0
-3.557 3.557 4.764
3.557 -3.557 4.764
3.557 3.557 -4.764
Ba Ga Hg Au
2 1 2 4
Direct
0.250 0.750 0.500 Ba
0.750 0.250 0.500 Ba
0.000 0.000 0.000 Ga
0.315 0.315 0.000 Hg
0.685 0.685 0.000 Hg
0.259 0.259 0.518 Au
0.259 0.741 0.000 Au
0.741 0.259 0.000 Au
0.741 0.741 0.482 Au
```

Computed properties:
* ΔE_f: -0.47 eV/atom
* space group: I4/mmm (139)



Record 14
Here is crystalline Ba2Ga4HgAu3 at its relaxed geometry from Alexandria. Energies are from GGA-PBE.

Geometry as POSCAR:
```
Ba2Ga4HgAu3
1.0
4.715 0.000 0.000
0.000 4.715 0.000
0.000 0.000 10.830
Ba Ga Hg Au
2 4 1 3
Direct
0.000 0.500 0.246 Ba
0.500 0.000 0.754 Ba
0.000 0.000 0.000 Ga
0.000 0.500 0.634 Ga
0.500 0.000 0.366 Ga
0.500 0.500 0.000 Ga
0.000 0.000 0.500 Hg
0.000 0.500 0.879 Au
0.500 0.000 0.121 Au
0.500 0.500 0.500 Au
```

Computed properties:
* ΔE_f: -0.53 eV/atom
* space group: P-4m2 (115)



Record 15
Here is crystalline Ba2Ga4Hg3Au at its relaxed geometry from Alexandria. Energies are from GGA-PBE.

Geometry as POSCAR:
```
Ba2Ga4Hg3Au
1.0
4.758 0.000 0.000
0.000 4.758 0.000
0.000 0.000 11.397
Ba Ga Hg Au
2 4 3 1
Direct
0.000 0.500 0.244 Ba
0.500 0.000 0.756 Ba
0.000 0.000 0.500 Ga
0.000 0.500 0.879 Ga
0.500 0.000 0.121 Ga
0.500 0.500 0.500 Ga
0.000 0.000 0.000 Hg
0.000 0.500 0.635 Hg
0.500 0.000 0.365 Hg
0.500 0.500 0.000 Au
```

Computed properties:
* ΔE_f: -0.40 eV/atom
* space group: P-4m2 (115)



Record 16
Here is crystalline Ba2GaHgAu at its relaxed geometry from Alexandria. Energies are from GGA-PBE.

Geometry as POSCAR:
```
Ba2GaHgAu
1.0
6.383 0.000 0.000
0.000 6.383 0.000
0.000 0.000 4.850
Ba Ga Hg Au
2 1 1 1
Direct
0.000 0.500 0.000 Ba
0.500 0.000 0.000 Ba
0.000 0.000 0.500 Ga
0.500 0.500 0.500 Hg
0.000 0.000 0.000 Au
```

Computed properties:
* ΔE_f: -0.40 eV/atom
* space group: P4/mmm (123)



Record 17
Here is crystalline BaHoGa2Au5 at its relaxed geometry from Alexandria. Energies are from GGA-PBE.

Geometry as POSCAR:
```
BaHoGa2Au5
1.0
5.044 0.000 0.000
0.000 5.044 0.000
0.000 0.000 8.874
Ba Ho Ga Au
1 1 2 5
Direct
0.000 0.000 0.000 Ba
0.000 0.000 0.500 Ho
0.500 0.500 0.290 Ga
0.500 0.500 0.710 Ga
0.000 0.500 0.322 Au
0.000 0.500 0.678 Au
0.500 0.000 0.322 Au
0.500 0.000 0.678 Au
0.500 0.500 0.000 Au
```

Computed properties:
* ΔE_f: -0.51 eV/atom
* space group: P4/mmm (123)



Record 18
Here is crystalline Ba4GaAuI2 at its relaxed geometry from Alexandria. Energies are from GGA-PBE.

Geometry as POSCAR:
```
Ba4GaAuI2
1.0
8.344 0.000 0.000
0.000 4.754 0.000
-2.717 0.000 8.879
Ba Ga Au I
4 1 1 2
Direct
0.242 0.000 0.211 Ba
0.258 0.500 0.782 Ba
0.742 0.500 0.218 Ba
0.758 0.000 0.789 Ba
0.500 0.000 0.000 Ga
0.000 0.500 0.000 Au
0.000 0.000 0.500 I
0.500 0.500 0.500 I
```

Computed properties:
* formation energy from raw total energies: -0.944 eV per atom
* space group: P2/m (10)



Record 19
Here is crystalline BaInGa2Au4 at its relaxed geometry from Alexandria. Energies are from GGA-PBE.

Geometry as POSCAR:
```
BaInGa2Au4
1.0
2.244 1.296 10.621
-2.244 1.296 10.621
0.000 -2.591 10.621
Ba In Ga Au
1 1 2 4
Direct
0.000 0.000 0.000 Ba
0.500 0.500 0.500 In
0.246 0.246 0.246 Ga
0.754 0.754 0.754 Ga
0.124 0.124 0.124 Au
0.403 0.403 0.403 Au
0.597 0.597 0.597 Au
0.876 0.876 0.876 Au
```

Computed properties:
* ΔE_f: -0.36 eV/atom
* space group: R-3m (166)



Record 20
Here is crystalline BaIn2GaAu at its relaxed geometry from Alexandria. Energies are from GGA-PBE.

Geometry as POSCAR:
```
BaIn2GaAu
1.0
-2.403 2.421 5.855
2.403 -2.421 5.855
2.403 2.421 -5.855
Ba In Ga Au
1 2 1 1
Direct
0.000 0.000 0.000 Ba
0.610 0.610 0.000 In
0.754 0.254 0.500 In
0.260 0.760 0.500 Ga
0.373 0.373 0.000 Au
```

Computed properties:
* ΔE_f: -0.47 eV/atom
* space group: Imm2 (44)



Record 21
Here is crystalline BaIn2GaAu4 at its relaxed geometry from Alexandria. Energies are from GGA-PBE.

Geometry as POSCAR:
```
BaIn2GaAu4
1.0
2.349 1.356 10.013
-2.349 1.356 10.013
0.000 -2.712 10.013
Ba In Ga Au
1 2 1 4
Direct
0.000 0.000 0.000 Ba
0.243 0.243 0.243 In
0.757 0.757 0.757 In
0.500 0.500 0.500 Ga
0.143 0.143 0.143 Au
0.405 0.405 0.405 Au
0.595 0.595 0.595 Au
0.857 0.857 0.857 Au
```

Computed properties:
* ΔE_f: -0.36 eV/atom
* space group: R-3m (166)



Record 22
Here is crystalline Ba2In3Ga4Au at its relaxed geometry from Alexandria. Energies are from GGA-PBE.

Geometry as POSCAR:
```
Ba2In3Ga4Au
1.0
4.785 0.000 0.000
0.000 4.785 0.000
0.000 0.000 11.383
Ba In Ga Au
2 3 4 1
Direct
0.000 0.500 0.250 Ba
0.500 0.000 0.750 Ba
0.000 0.000 0.000 In
0.000 0.500 0.631 In
0.500 0.000 0.369 In
0.000 0.000 0.500 Ga
0.000 0.500 0.875 Ga
0.500 0.000 0.125 Ga
0.500 0.500 0.500 Ga
0.500 0.500 0.000 Au
```

Computed properties:
* ΔE_f: -0.41 eV/atom
* space group: P-4m2 (115)



Record 23
Here is crystalline BaInGaAu3 at its relaxed geometry from Alexandria. Energies are from GGA-PBE.

Geometry as POSCAR:
```
BaInGaAu3
1.0
3.622 -6.617 0.000
3.622 6.617 0.000
0.000 0.000 6.941
Ba In Ga Au
2 2 2 6
Direct
0.220 0.780 0.750 Ba
0.780 0.220 0.250 Ba
0.486 0.514 0.250 In
0.514 0.486 0.750 In
0.093 0.907 0.250 Ga
0.907 0.093 0.750 Ga
0.203 0.203 0.000 Au
0.203 0.203 0.500 Au
0.281 0.719 0.250 Au
0.719 0.281 0.750 Au
0.797 0.797 0.000 Au
0.797 0.797 0.500 Au
```

Computed properties:
* ΔE_f: -0.42 eV/atom
* space group: Cmcm (63)



| no. | total magnetization (μB/f.u.) |
| --- | --- |
| 1 | 0.0 |
| 2 | 0.0 |
| 3 | 0.0 |
| 4 | 0.0 |
| 5 | 0.0 |
| 6 | 0.0 |
| 7 | 0.0 |
| 8 | 0.0 |
| 9 | 0.0 |
| 10 | 0.0 |
| 11 | 0.0 |
| 12 | 0.0 |
| 13 | 0.0 |
| 14 | 0.0 |
| 15 | 0.0 |
| 16 | 0.0 |
| 17 | 0.0 |
| 18 | 0.0 |
| 19 | 0.0 |
| 20 | 0.0 |
| 21 | 0.0 |
| 22 | 0.0 |
| 23 | 0.0 |